Entry from Alexandria via LeMat-Bulk: a geometry-optimized SrReBi2I structure (PBE-GGA).

Structure (POSCAR):
```
SrReBi2I
1.0
-1.280 5.164 -3.007
-3.555 1.611 4.280
4.652 2.791 2.813
I Re Bi Sr
1 1 2 1
direct
0.000 0.500 0.000
0.500 0.500 0.500
0.000 0.000 0.500
0.500 0.000 0.000
0.000 0.000 0.000
```

**Theoretical density**: 6.285 g/cm³
**Fermi-level density of states**: 30.4 states/eV/f.u.
**SG**: P4/mmm
**E_tot**: -2.685 eV/atom
**Uncorrected formation energy**: 2004 meV per atom

Entry from Alexandria via LeMat-Bulk: a geometry-optimized TaReBiI2 structure (PBE-GGA).

Structure (POSCAR):
```
TaReBiI2
1.0
-0.106 2.201 -5.770
-2.200 -4.518 -1.683
-5.618 2.362 1.004
I Re Bi Ta
2 1 1 1
direct
0.000 0.000 0.500
0.500 0.000 0.000
0.000 0.500 0.000
0.000 0.000 0.000
0.500 0.500 0.500
```

**Theoretical density**: 6.816 g/cm³
**Fermi-level density of states**: 8.3 states/eV/f.u.
**SG**: P4/mmm
**E_tot**: -3.813 eV/atom
**Uncorrected formation energy**: 2444 meV per atom

Entry from Alexandria via LeMat-Bulk: a geometry-optimized ReBiTe2I structure (PBE-GGA).

Structure (POSCAR):
```
ReBiTe2I
1.0
5.212 0.000 0.000
0.000 5.212 0.000
0.000 0.000 5.552
I Re Te Bi
1 1 2 1
direct
0.000 0.000 0.500
0.000 0.000 0.000
0.000 0.500 0.000
0.500 0.000 0.000
0.500 0.500 0.500
```

**Theoretical density**: 8.557 g/cm³
**Fermi-level density of states**: 6.2 states/eV/f.u.
**SG**: P4/mmm
**E_tot**: -4.174 eV/atom
**Uncorrected formation energy**: 658 meV per atom
**ΔE to the lowest computed polymorph**: 0 meV per atom

Entry from Alexandria via LeMat-Bulk: a geometry-optimized Ti2ReBiI structure (PBE-GGA).

Structure (POSCAR):
```
Ti2ReBiI
1.0
4.965 0.000 0.000
0.000 4.924 0.000
0.000 0.000 4.965
I Re Bi Ti
1 1 1 2
direct
0.000 0.000 0.000
0.000 0.500 0.000
0.500 0.500 0.500
0.000 0.000 0.500
0.500 0.000 0.000
```

**Theoretical density**: 8.453 g/cm³
**Fermi-level density of states**: 5.5 states/eV/f.u.
**SG**: P4/mmm
**E_tot**: -5.368 eV/atom
**Uncorrected formation energy**: 1366 meV per atom